No. 1
# ScMnBeGa2 | Alexandria via LeMat-Bulk | PBE | optimized geometry
data_ScMnBeGa2
_symmetry_space_group_name_H-M 'P 1'
_symmetry_Int_Tables_number 1
_symmetry_space_group_name_Hall 'P 1'
_cell_length_a 4.629
_cell_length_b 4.629
_cell_length_c 4.498
_cell_angle_alpha 90.00
_cell_angle_beta 90.00
_cell_angle_gamma 90.00
loop_
_atom_site_label
_atom_site_fract_x
_atom_site_fract_y
_atom_site_fract_z
Sc1 0.000 0.000 0.000
Mn1 0.000 0.000 0.500
Be1 0.500 0.500 0.000
Ga1 0.000 0.500 0.500
Ga2 0.500 0.000 0.500
# Crystal system: tetragonal
# Energy of formation from the pure elements, kJ/mol of atoms: 46.9

---

No. 2
# SrRh2O | Alexandria via LeMat-Bulk | PBE | optimized geometry
data_SrRh2O
_symmetry_space_group_name_H-M 'P 1'
_symmetry_Int_Tables_number 1
_symmetry_space_group_name_Hall 'P 1'
_cell_length_a 7.377
_cell_length_b 7.377
_cell_length_c 7.377
_cell_angle_alpha 140.00
_cell_angle_beta 140.00
_cell_angle_gamma 57.85
loop_
_atom_site_label
_atom_site_fract_x
_atom_site_fract_y
_atom_site_fract_z
Sr1 0.375 0.625 0.750
Sr2 0.625 0.375 0.250
Rh1 0.000 0.000 0.000
Rh2 0.000 0.000 0.500
Rh3 0.000 0.500 0.000
Rh4 0.500 0.000 0.500
O1 0.125 0.875 0.250
O2 0.875 0.125 0.750
# Crystal system: tetragonal
# E_form (uncorrected), eV/atom: -0.428

---

No. 3
# TiNbI3 | Alexandria via LeMat-Bulk | PBE | optimized geometry
data_TiNbI3
_symmetry_space_group_name_H-M 'P 1'
_symmetry_Int_Tables_number 1
_symmetry_space_group_name_Hall 'P 1'
_cell_length_a 5.550
_cell_length_b 5.550
_cell_length_c 5.550
_cell_angle_alpha 90.00
_cell_angle_beta 90.00
_cell_angle_gamma 90.00
loop_
_atom_site_label
_atom_site_fract_x
_atom_site_fract_y
_atom_site_fract_z
Ti1 0.000 0.000 0.000
Nb1 0.500 0.500 0.500
I1 0.000 0.000 0.500
I2 0.000 0.500 0.000
I3 0.500 0.000 0.000
# Crystal system: cubic
# Polymorph energy (0 for the lowest one), meV/atom: 0.0
# E_form (uncorrected), eV/atom: 0.583

---

No. 4
# AgAu | Alexandria via LeMat-Bulk | PBE | optimized geometry
data_AgAu
_symmetry_space_group_name_H-M 'P 1'
_symmetry_Int_Tables_number 1
_symmetry_space_group_name_Hall 'P 1'
_cell_length_a 5.044
_cell_length_b 5.044
_cell_length_c 5.044
_cell_angle_alpha 34.06
_cell_angle_beta 34.06
_cell_angle_gamma 34.06
loop_
_atom_site_label
_atom_site_fract_x
_atom_site_fract_y
_atom_site_fract_z
Ag1 0.000 0.000 0.000
Au1 0.500 0.500 0.500
# Crystal system: trigonal
# Energy of formation from the pure elements, kJ/mol of atoms: -2.0

---

No. 5
# BaSi2HPt | Alexandria via LeMat-Bulk | PBE | optimized geometry
data_BaSi2HPt
_symmetry_space_group_name_H-M 'P 1'
_symmetry_Int_Tables_number 1
_symmetry_space_group_name_Hall 'P 1'
_cell_length_a 6.012
_cell_length_b 6.012
_cell_length_c 5.590
_cell_angle_alpha 90.00
_cell_angle_beta 90.00
_cell_angle_gamma 90.00
loop_
_atom_site_label
_atom_site_fract_x
_atom_site_fract_y
_atom_site_fract_z
Ba1 0.000 0.000 0.000
Si1 0.000 0.500 0.000
Si2 0.500 0.000 0.000
H1 0.500 0.500 0.500
Pt1 0.000 0.000 0.500
# Crystal system: tetragonal
# Energy, eV for the cell shown: -11.6

---

No. 6
# RbBa2TmBr8 | Alexandria via LeMat-Bulk | PBE | optimized geometry
data_RbBa2TmBr8
_symmetry_space_group_name_H-M 'P 1'
_symmetry_Int_Tables_number 1
_symmetry_space_group_name_Hall 'P 1'
_cell_length_a 7.081
_cell_length_b 9.956
_cell_length_c 7.226
_cell_angle_alpha 90.00
_cell_angle_beta 90.49
_cell_angle_gamma 90.00
loop_
_atom_site_label
_atom_site_fract_x
_atom_site_fract_y
_atom_site_fract_z
Rb1 0.000 0.000 0.000
Ba1 0.500 0.258 0.500
Ba2 0.500 0.742 0.500
Tm1 0.000 0.500 0.000
Br1 0.225 0.298 0.855
Br2 0.225 0.702 0.855
Br3 0.233 0.500 0.320
Br4 0.251 0.000 0.398
Br5 0.749 0.000 0.602
Br6 0.767 0.500 0.680
Br7 0.775 0.298 0.145
Br8 0.775 0.702 0.145
# Crystal system: monoclinic
# E_form (uncorrected), eV/atom: -1.979

---

No. 7
# BaTl9In2 | Alexandria via LeMat-Bulk | PBE | optimized geometry
data_BaTl9In2
_symmetry_space_group_name_H-M 'P 1'
_symmetry_Int_Tables_number 1
_symmetry_space_group_name_Hall 'P 1'
_cell_length_a 10.431
_cell_length_b 10.431
_cell_length_c 10.431
_cell_angle_alpha 99.89
_cell_angle_beta 99.89
_cell_angle_gamma 131.02
loop_
_atom_site_label
_atom_site_fract_x
_atom_site_fract_y
_atom_site_fract_z
Ba1 0.375 0.625 0.750
Ba2 0.625 0.375 0.250
Tl1 0.121 0.550 0.326
Tl2 0.121 0.796 0.571
Tl3 0.125 0.875 0.250
Tl4 0.204 0.275 0.326
Tl5 0.204 0.879 0.929
Tl6 0.275 0.204 0.826
Tl7 0.275 0.450 0.071
Tl8 0.450 0.275 0.571
Tl9 0.450 0.879 0.174
Tl10 0.550 0.121 0.826
Tl11 0.550 0.725 0.429
Tl12 0.725 0.550 0.929
Tl13 0.725 0.796 0.174
Tl14 0.796 0.121 0.071
Tl15 0.796 0.725 0.674
Tl16 0.875 0.125 0.750
Tl17 0.879 0.204 0.429
Tl18 0.879 0.450 0.674
In1 0.000 0.000 0.000
In2 0.000 0.000 0.500
In3 0.000 0.500 0.000
In4 0.500 0.000 0.500
# Crystal system: tetragonal
# Energy of formation from the pure elements, kJ/mol of atoms: -7.5

---

Number 1: spin magnetization 0.188 μB/f.u.. Number 2: spin magnetization 0.000 μB/f.u.. Number 3: spin magnetization 6.000 μB/f.u.. Number 4: spin magnetization 0.000 μB/f.u.. Number 5: spin magnetization 0.010 μB/f.u.. Number 6: spin magnetization 0.000 μB/f.u.. Number 7: spin magnetization 0.000 μB/f.u..